VASP calculation (GGA-PBE) on crystalline AlTcPt2N at its relaxed geometry.

a b c (Å): 4.2794 4.2794 3.7848
angles (deg): 90.00 90.00 90.00
Atoms (fractional coordinates):
1 Al 0.0000 0.0000 0.0000
2 Tc 0.5000 0.5000 0.0000
3 Pt 0.0000 0.5000 0.5000
4 Pt 0.5000 0.0000 0.5000
5 N 0.0000 0.0000 0.5000

Calculated total energy in eV/atom: -6.53
V in Å³ per atom: 13.86
Symmetry: No. 123